A plane-wave DFT calculation with PBE was carried out for a geometry-optimized SiIr2Cl structure.

For the uncorrected formation energy, the calculation gives -0.035 eV/atom. The relative energy among the computed polymorphs comes out at 189 meV/atom. As for the size of the total moment: 0.000 Bohr magnetons per cell. Its density of states at the Fermi level is 12.19 states/eV/cell.

The structure belongs to space group R-3m (No. 166, hexagonal axes); the cell edges are 2.8701, 2.8701 and 25.8722 Å and the angles 90.00°, 90.00° and 120.00°. The distinct sites, in fractional coordinates, are Si at (0.0000, 0.0000, 0.0000), Ir at (0.0000, 0.0000, 0.2651) and Cl at (0.0000, 0.0000, 0.5000).



A plane-wave DFT calculation with PBE was carried out for a geometry-optimized Tm5Co4Ni structure.

As for the size of the total moment: 1.602 Bohr magnetons per cell. For the formation energy, the calculation gives -0.276 eV per atom. Its density of states at the Fermi level is 2.99 states/eV/cell.

The structure belongs to space group P4/mmm (No. 123); the cell edges are 3.302, 3.302 and 16.453 Å and the angles 90.00°, 90.00° and 90.00°. The distinct sites, in fractional coordinates, are Tm at (0.000, 0.000, 0.000), Tm at (0.000, 0.000, 0.199), Tm at (0.000, 0.000, 0.398), Co at (0.500, 0.500, 0.100), Co at (0.500, 0.500, 0.301) and Ni at (0.500, 0.500, 0.500).



A plane-wave DFT calculation with PBE was carried out for a geometry-optimized YBiCl3 structure.

For the uncorrected formation energy, the calculation gives -0.213 eV/atom. The relative energy among the computed polymorphs comes out at 976 meV/atom. As for the size of the total moment: 1.933 Bohr magnetons per cell. Its density of states at the Fermi level is 7.91 states/eV/cell.

The structure belongs to space group Pm-3m (No. 221); the cell edges are 5.604, 5.604 and 5.604 Å and the angles 90.00°, 90.00° and 90.00°. The distinct sites, in fractional coordinates, are Y at (0.000, 0.000, 0.000), Bi at (0.500, 0.500, 0.500) and Cl at (0.000, 0.500, 0.500).



A plane-wave DFT calculation with PBE was carried out for a geometry-optimized Er3Tm5Tl structure.

As for the size of the total moment: 0.000 Bohr magnetons per cell. For the formation energy, the calculation gives 0.407 eV per atom. Its density of states at the Fermi level is 54.04 states/eV/cell.

The structure belongs to space group C2/m (No. 12); the cell edges are 11.897, 11.200 and 10.045 Å and the angles 90.00°, 109.33° and 90.00°. The distinct sites, in fractional coordinates, are Er at (0.000, 0.000, 0.000), Er at (0.000, 0.000, 0.315), Er at (0.000, 0.500, 0.500), Er at (0.005, 0.500, 0.172), Tm at (0.000, 0.231, 0.500), Tm at (0.184, 0.240, 0.294), Tm at (0.237, 0.000, 0.558), Tm at (0.250, 0.000, 0.909) and Tl at (0.231, 0.500, 0.769).



A plane-wave DFT calculation with PBE was carried out for a geometry-optimized GeOs2WI structure.

For the uncorrected formation energy, the calculation gives 2.028 eV/atom. As for the size of the total moment: 0.000 Bohr magnetons per cell. Its density of states at the Fermi level is 5.22 states/eV/cell.

The structure belongs to space group P4/mmm (No. 123); the cell edges are 4.602, 4.602 and 4.737 Å and the angles 90.00°, 90.00° and 90.00°. The distinct sites, in fractional coordinates, are Ge at (0.000, 0.000, 0.000), Os at (0.000, 0.500, 0.000), W at (0.000, 0.000, 0.500) and I at (0.500, 0.500, 0.500).



A plane-wave DFT calculation with PBE was carried out for a geometry-optimized TmPaZnPb structure.

As for the size of the total moment: 5.447 Bohr magnetons per cell. For the formation energy, the calculation gives 0.015 eV per atom. Its density of states at the Fermi level is 34.53 states/eV/cell.

The structure belongs to space group F-43m (No. 216); the cell edges are 7.388, 7.388 and 7.388 Å and the angles 90.00°, 90.00° and 90.00°. The distinct sites, in fractional coordinates, are Tm at (0.000, 0.000, 0.000), Pa at (0.000, 0.000, 0.500), Zn at (0.250, 0.250, 0.250) and Pb at (0.250, 0.250, 0.750).



A plane-wave DFT calculation with PBE was carried out for a geometry-optimized Mn4NiAs structure.

As for the size of the total moment: 22.024 Bohr magnetons per cell. For the formation energy, the calculation gives 0.390 eV per atom. Its density of states at the Fermi level is 43.73 states/eV/cell.

The structure belongs to space group F-43m (No. 216); the cell edges are 6.657, 6.657 and 6.657 Å and the angles 90.00°, 90.00° and 90.00°. The distinct sites, in fractional coordinates, are Mn at (0.125, 0.125, 0.125), Ni at (0.000, 0.000, 0.500) and As at (0.250, 0.250, 0.750).



A plane-wave DFT calculation with PBE was carried out for a geometry-optimized Cd2TeP structure.

For the uncorrected formation energy, the calculation gives 0.310 eV/atom. The relative energy among the computed polymorphs comes out at 377 meV/atom. As for the size of the total moment: 0.000 Bohr magnetons per cell. Its density of states at the Fermi level is 5.30 states/eV/cell.

The structure belongs to space group I-4m2 (No. 119); the cell edges are 4.062, 4.062 and 12.025 Å and the angles 90.00°, 90.00° and 90.00°. The distinct sites, in fractional coordinates, are Cd at (0.000, 0.000, 0.000), Cd at (0.000, 0.500, 0.250), Te at (0.000, 0.000, 0.500) and P at (0.000, 0.500, 0.750).



A plane-wave DFT calculation with PBE was carried out for a geometry-optimized TeH3Pd structure.

The relative energy among the computed polymorphs comes out at 0 meV/atom. As for the size of the total moment: 0.000 Bohr magnetons per cell. Its density of states at the Fermi level is 2.80 states/eV/cell.

The structure belongs to space group Pm-3m (No. 221); the cell edges are 3.785, 3.785 and 3.785 Å and the angles 90.00°, 90.00° and 90.00°. The distinct sites, in fractional coordinates, are Te at (0.000, 0.000, 0.000), H at (0.000, 0.500, 0.500) and Pd at (0.500, 0.500, 0.500).



A plane-wave DFT calculation with PBE was carried out for a geometry-optimized La2TeP structure.

For the uncorrected formation energy, the calculation gives -0.493 eV/atom. The relative energy among the computed polymorphs comes out at 1172 meV/atom. As for the size of the total moment: 0.000 Bohr magnetons per cell. Its density of states at the Fermi level is 11.53 states/eV/cell.

The structure belongs to space group F-43m (No. 216); the cell edges are 7.488, 7.488 and 7.488 Å and the angles 90.00°, 90.00° and 90.00°. The distinct sites, in fractional coordinates, are La at (0.000, 0.000, 0.000), La at (0.250, 0.250, 0.250), Te at (0.250, 0.250, 0.750) and P at (0.000, 0.000, 0.500).



A plane-wave DFT calculation with PBE was carried out for a geometry-optimized Ca2ScTl structure.

The relative energy among the computed polymorphs comes out at 293 meV/atom. As for the size of the total moment: 0.030 Bohr magnetons per cell. For the formation energy, the calculation gives 0.177 eV per atom. Its density of states at the Fermi level is 25.92 states/eV/cell.

The structure belongs to space group I-42d (No. 122); the cell edges are 8.843, 8.843 and 6.547 Å and the angles 90.00°, 90.00° and 90.00°. The distinct sites, in fractional coordinates, are Ca at (0.222, 0.750, 0.125), Sc at (0.000, 0.000, 0.500) and Tl at (0.000, 0.000, 0.000).



A plane-wave DFT calculation with PBE was carried out for a geometry-optimized LaHoAs2Rh5 structure.

As for the size of the total moment: 0.000 Bohr magnetons per cell. For the formation energy, the calculation gives -0.607 eV per atom. Its density of states at the Fermi level is 3.91 states/eV/cell.

The structure belongs to space group P4/mmm (No. 123); the cell edges are 4.084, 4.084 and 11.276 Å and the angles 90.00°, 90.00° and 90.00°. The distinct sites, in fractional coordinates, are La at (0.000, 0.000, 0.000), Ho at (0.000, 0.000, 0.500), As at (0.500, 0.500, 0.212), Rh at (0.000, 0.500, 0.320) and Rh at (0.500, 0.500, 0.000).



A plane-wave DFT calculation with PBE was carried out for a geometry-optimized Dy3ErIn3 structure.

The relative energy among the computed polymorphs comes out at 13 meV/atom. As for the size of the total moment: 0.000 Bohr magnetons per cell. For the formation energy, the calculation gives -0.307 eV per atom. Its density of states at the Fermi level is 36.09 states/eV/cell.

The structure belongs to space group P2_13 (No. 198); the cell edges are 9.293, 9.293 and 9.293 Å and the angles 90.00°, 90.00° and 90.00°. The distinct sites, in fractional coordinates, are Dy at (0.072, 0.428, 0.572), Dy at (0.174, 0.826, 0.326), Dy at (0.175, 0.175, 0.175), Er at (0.077, 0.577, 0.923) and In at (0.001, 0.254, 0.873).



A plane-wave DFT calculation with PBE was carried out for a geometry-optimized Ag2MoCl structure.

For the uncorrected formation energy, the calculation gives 0.533 eV/atom. The relative energy among the computed polymorphs comes out at 420 meV/atom. As for the size of the total moment: 0.000 Bohr magnetons per cell. Its density of states at the Fermi level is 2.90 states/eV/cell.

The structure belongs to space group P2/m (No. 10); the cell edges are 2.836, 5.480 and 4.756 Å and the angles 90.00°, 90.80° and 90.00°. The distinct sites, in fractional coordinates, are Ag at (0.240, 0.000, 0.243), Mo at (0.500, 0.500, 0.000) and Cl at (0.500, 0.500, 0.500).



A plane-wave DFT calculation with PBE was carried out for a geometry-optimized CsSi2SbN structure.

For the uncorrected formation energy, the calculation gives 1.074 eV/atom. As for the size of the total moment: 0.109 Bohr magnetons per cell. Its density of states at the Fermi level is 3.30 states/eV/cell.

The structure belongs to space group P4/mmm (No. 123); the cell edges are 4.734, 4.734 and 5.005 Å and the angles 90.00°, 90.00° and 90.00°. The distinct sites, in fractional coordinates, are Cs at (0.000, 0.000, 0.000), Si at (0.000, 0.500, 0.500), Sb at (0.500, 0.500, 0.000) and N at (0.500, 0.500, 0.500).



A plane-wave DFT calculation with PBE was carried out for a geometry-optimized AlPt2Pb structure.

As for the size of the total moment: 0.000 Bohr magnetons per cell. For the formation energy, the calculation gives -0.229 eV per atom. Its density of states at the Fermi level is 1.60 states/eV/cell.

The structure belongs to space group I-4m2 (No. 119); the cell edges are 4.037, 4.037 and 8.779 Å and the angles 90.00°, 90.00° and 90.00°. The distinct sites, in fractional coordinates, are Al at (0.000, 0.000, 0.000), Pt at (0.000, 0.000, 0.500), Pt at (0.000, 0.500, 0.250) and Pb at (0.000, 0.500, 0.750).



A plane-wave DFT calculation with PBE was carried out for a geometry-optimized Ce8PuSb2 structure.

For the uncorrected formation energy, the calculation gives -0.235 eV/atom. As for the size of the total moment: 26.683 Bohr magnetons per cell. Its density of states at the Fermi level is 76.07 states/eV/cell.

The structure belongs to space group Immm (No. 71); the cell edges are 5.588, 9.096 and 11.844 Å and the angles 90.00°, 90.00° and 90.00°. The distinct sites, in fractional coordinates, are Ce at (0.000, 0.000, 0.130), Ce at (0.000, 0.194, 0.352), Ce at (0.000, 0.277, 0.000), Pu at (0.000, 0.500, 0.500) and Sb at (0.000, 0.500, 0.216).



A plane-wave DFT calculation with PBE was carried out for a geometry-optimized ZrCrCu structure.

The relative energy among the computed polymorphs comes out at 79 meV/atom. As for the size of the total moment: 0.000 Bohr magnetons per cell. For the formation energy, the calculation gives 0.119 eV per atom. Its density of states at the Fermi level is 11.94 states/eV/cell.

The structure belongs to space group Amm2 (No. 38); the cell edges are 4.675, 4.249 and 9.605 Å and the angles 90.00°, 90.00° and 90.00°. The distinct sites, in fractional coordinates, are Zr at (0.000, 0.000, 0.000), Zr at (0.500, 0.000, 0.431), Cr at (0.283, 0.000, 0.724), Cu at (0.000, 0.000, 0.288) and Cu at (0.500, 0.000, 0.139).



A plane-wave DFT calculation with PBE was carried out for a geometry-optimized YEr3Rh structure.

The relative energy among the computed polymorphs comes out at 0 meV/atom. As for the size of the total moment: 0.000 Bohr magnetons per cell. For the formation energy, the calculation gives -0.311 eV per atom. Its density of states at the Fermi level is 11.63 states/eV/cell.

The structure belongs to space group Pmn2_1 (No. 31); the cell edges are 7.489, 6.481 and 6.099 Å and the angles 90.00°, 90.00° and 90.00°. The distinct sites, in fractional coordinates, are Y at (0.000, 0.149, 0.000), Er at (0.000, 0.849, 0.486), Er at (0.250, 0.314, 0.493) and Rh at (0.000, 0.504, 0.741).



A plane-wave DFT calculation with PBE was carried out for a geometry-optimized BaHfS3 structure.

For the uncorrected formation energy, the calculation gives -1.843 eV/atom. As for the size of the total moment: 0.000 Bohr magnetons per cell. Its density of states at the Fermi level is 0.00 states/eV/cell.

The structure belongs to space group Pnma (No. 62); the cell edges are 7.096, 9.991 and 7.030 Å and the angles 90.00°, 90.00° and 90.00°. The distinct sites, in fractional coordinates, are Ba at (0.043, 0.250, 0.009), Hf at (0.000, 0.000, 0.500), S at (0.004, 0.750, 0.441) and S at (0.215, 0.531, 0.785).



A plane-wave DFT calculation with PBE was carried out for a geometry-optimized Y12Er7In structure.

As for the size of the total moment: 0.050 Bohr magnetons per cell. For the formation energy, the calculation gives 0.174 eV per atom. Its density of states at the Fermi level is 114.56 states/eV/cell.

The structure belongs to space group R-3 (No. 148, hexagonal axes); the cell edges are 12.0618, 12.0618 and 15.3511 Å and the angles 90.00°, 90.00° and 120.00°. The distinct sites, in fractional coordinates, are Y at (0.0334, 0.5788, 0.2099), Y at (0.0585, 0.4728, 0.5864), Er at (0.0000, 0.0000, 0.0000), Er at (0.0522, 0.8645, 0.3024) and In at (0.0000, 0.0000, 0.5000).



A plane-wave DFT calculation with PBE was carried out for a geometry-optimized Ce2TlAg2S6 structure.

For the uncorrected formation energy, the calculation gives -0.961 eV/atom. As for the size of the total moment: 0.000 Bohr magnetons per cell. Its density of states at the Fermi level is 4.65 states/eV/cell.

The structure belongs to space group P-1 (No. 2); the cell edges are 6.940, 7.194 and 7.198 Å and the angles 119.07°, 97.90° and 108.23°. The distinct sites, in fractional coordinates, are Ce at (0.015, 0.341, 0.173), Tl at (0.000, 0.000, 0.500), Ag at (0.491, 0.893, 0.748), S at (0.236, 0.100, 0.935), S at (0.236, 0.478, 0.597) and S at (0.239, 0.762, 0.227).



Quick rundown of E_tot, same order as above: -6.28, -5.93, -3.39, -3.86, -6.29, -4.72, -7.46, -2.29, -3.11, -5.09, -3.00, -6.78, -4.11, -4.06, -3.76, -5.11, -6.60, -7.30, -5.81, -6.69, -5.44, -5.02 eV per atom